# Ac2NiHgPd6 | the Alexandria database | PBE-GGA | relaxed
data_Ac2NiHgPd6
_cell_length_a 9.053
_cell_length_b 9.053
_cell_length_c 9.053
_cell_angle_alpha 37.00
_cell_angle_beta 37.00
_cell_angle_gamma 37.00
_symmetry_space_group_name_H-M 'P 1'
_symmetry_Int_Tables_number 1
_symmetry_space_group_name_Hall 'P 1'
loop_
_atom_site_label
_atom_site_type_symbol
_atom_site_fract_x
_atom_site_fract_y
_atom_site_fract_z
Ac1 Ac 0.205 0.205 0.205
Ac2 Ac 0.795 0.795 0.795
Ni1 Ni 0.500 0.500 0.500
Hg1 Hg 0.000 0.000 0.000
Pd1 Pd 0.242 0.744 0.744
Pd2 Pd 0.256 0.256 0.758
Pd3 Pd 0.256 0.758 0.256
Pd4 Pd 0.744 0.242 0.744
Pd5 Pd 0.744 0.744 0.242
Pd6 Pd 0.758 0.256 0.256
# Formation energy from the elements in eV/atom: -0.44
# E_tot in eV/atom: -4.99
# Volume in Å³/atom: 24.1